BaTcB2O8: optimized geometry, PBE.

CIF file:
```
data_BaTcB2O8
_symmetry_space_group_name_H-M 'P -3'
_symmetry_Int_Tables_number 147
_symmetry_space_group_name_Hall '-P 3'
_cell_length_a 4.8125
_cell_length_b 4.8125
_cell_length_c 7.5627
_cell_angle_alpha 90.00
_cell_angle_beta 90.00
_cell_angle_gamma 120.00
loop_
_atom_site_label
_atom_site_type_symbol
_atom_site_fract_x
_atom_site_fract_y
_atom_site_fract_z
Ba1 Ba 0.0000 0.0000 0.0000
Tc1 Tc 0.0000 0.0000 0.5000
B1 B 0.3333 0.6667 0.7124
O1 O 0.0805 0.3508 0.6460
O2 O 0.3333 0.6667 0.9007
```

Computed properties:
Mass density = 4.2 g/cm³

---

BaBTe2O8: optimized geometry, PBE.

CIF file:
```
data_BaBTe2O8
_symmetry_space_group_name_H-M 'C 1 2/m 1'
_symmetry_Int_Tables_number 12
_symmetry_space_group_name_Hall '-C 2y'
_cell_length_a 10.1123
_cell_length_b 4.8334
_cell_length_c 7.4756
_cell_angle_alpha 90.00
_cell_angle_beta 115.17
_cell_angle_gamma 90.00
loop_
_atom_site_label
_atom_site_type_symbol
_atom_site_fract_x
_atom_site_fract_y
_atom_site_fract_z
Ba1 Ba 0.0000 0.0000 0.0000
B1 B 0.0000 0.5000 0.5000
Te1 Te 0.1778 0.0000 0.6231
O1 O 0.0460 0.2711 0.6690
O2 O 0.1671 0.5000 0.1314
O3 O 0.2387 0.5000 0.5751
```

Computed properties:
Mass density = 5.3 g/cm³

---

BaB2TeO8: optimized geometry, PBE.

CIF file:
```
data_BaB2TeO8
_symmetry_space_group_name_H-M 'C 1 2/m 1'
_symmetry_Int_Tables_number 12
_symmetry_space_group_name_Hall '-C 2y'
_cell_length_a 7.8464
_cell_length_b 5.0784
_cell_length_c 7.8442
_cell_angle_alpha 90.00
_cell_angle_beta 93.63
_cell_angle_gamma 90.00
loop_
_atom_site_label
_atom_site_type_symbol
_atom_site_fract_x
_atom_site_fract_y
_atom_site_fract_z
Ba1 Ba 0.0000 0.0000 0.0000
B1 B 0.1298 0.5000 0.3083
Te1 Te 0.0000 0.0000 0.5000
O1 O 0.0191 0.2595 0.3169
O2 O 0.1856 0.5000 0.1385
O3 O 0.2448 0.0000 0.5441
```

Computed properties:
Mass density = 4.4 g/cm³

---

BaThB2O6: optimized geometry, PBE.

CIF file:
```
data_BaThB2O6
_symmetry_space_group_name_H-M 'C 1 2/c 1'
_symmetry_Int_Tables_number 15
_symmetry_space_group_name_Hall '-C 2yc'
_cell_length_a 8.5418
_cell_length_b 10.0892
_cell_length_c 7.0416
_cell_angle_alpha 90.00
_cell_angle_beta 110.59
_cell_angle_gamma 90.00
loop_
_atom_site_label
_atom_site_type_symbol
_atom_site_fract_x
_atom_site_fract_y
_atom_site_fract_z
Ba1 Ba 0.0000 0.1387 0.2500
Th1 Th 0.0000 0.4015 0.7500
B1 B 0.2428 0.3822 0.2654
O1 O 0.0865 0.3867 0.1077
O2 O 0.1653 0.2328 0.6947
O3 O 0.2133 0.0058 0.6152
```

Computed properties:
Mass density = 5.7 g/cm³

---

Ba3TiB2O8: optimized geometry, PBE.

CIF file:
```
data_Ba3TiB2O8
_symmetry_space_group_name_H-M 'P -3 m 1'
_symmetry_Int_Tables_number 164
_symmetry_space_group_name_Hall '-P 3 2"'
_cell_length_a 5.3703
_cell_length_b 5.3703
_cell_length_c 7.2832
_cell_angle_alpha 90.00
_cell_angle_beta 90.00
_cell_angle_gamma 120.00
loop_
_atom_site_label
_atom_site_type_symbol
_atom_site_fract_x
_atom_site_fract_y
_atom_site_fract_z
Ba1 Ba 0.0000 0.0000 0.0000
Ba2 Ba 0.3333 0.6667 0.7123
Ti1 Ti 0.0000 0.0000 0.5000
B1 B 0.3333 0.6667 0.2663
O1 O 0.1774 0.3548 0.3435
O2 O 0.3333 0.6667 0.0726
```

Computed properties:
Mass density = 5.6 g/cm³

---

BaTl3B4O12: optimized geometry, PBE.

CIF file:
```
data_BaTl3B4O12
_symmetry_space_group_name_H-M 'R 3 2'
_symmetry_Int_Tables_number 155
_symmetry_space_group_name_Hall 'R 3 2"'
_cell_length_a 10.3216
_cell_length_b 10.3216
_cell_length_c 8.7848
_cell_angle_alpha 90.00
_cell_angle_beta 90.00
_cell_angle_gamma 120.00
loop_
_atom_site_label
_atom_site_type_symbol
_atom_site_fract_x
_atom_site_fract_y
_atom_site_fract_z
Ba1 Ba 0.0000 0.0000 0.0000
Tl1 Tl 0.0000 0.5388 0.0000
B1 B 0.0000 0.0000 0.5000
B2 B 0.0000 0.4559 0.5000
O1 O 0.0000 0.5923 0.5000
O2 O 0.0000 0.8659 0.5000
O3 O 0.0044 0.2029 0.1907
```

Computed properties:
Mass density = 6.1 g/cm³

---

Ba2TlB2O6: optimized geometry, PBE.

CIF file:
```
data_Ba2TlB2O6
_symmetry_space_group_name_H-M 'C 1 2/m 1'
_symmetry_Int_Tables_number 12
_symmetry_space_group_name_Hall '-C 2y'
_cell_length_a 10.1973
_cell_length_b 5.4541
_cell_length_c 6.9054
_cell_angle_alpha 90.00
_cell_angle_beta 117.75
_cell_angle_gamma 90.00
loop_
_atom_site_label
_atom_site_type_symbol
_atom_site_fract_x
_atom_site_fract_y
_atom_site_fract_z
Ba1 Ba 0.2034 0.0000 0.1969
Tl1 Tl 0.0000 0.0000 0.5000
B1 B 0.0374 0.5000 0.2476
O1 O 0.0461 0.2820 0.8048
O2 O 0.1895 0.5000 0.3483
```

Computed properties:
Mass density = 5.8 g/cm³

---

BaTlBO4: optimized geometry, PBE.

CIF file:
```
data_BaTlBO4
_symmetry_space_group_name_H-M 'C m c m'
_symmetry_Int_Tables_number 63
_symmetry_space_group_name_Hall '-C 2c 2'
_cell_length_a 6.5274
_cell_length_b 9.7879
_cell_length_c 6.5392
_cell_angle_alpha 90.00
_cell_angle_beta 90.00
_cell_angle_gamma 90.00
loop_
_atom_site_label
_atom_site_type_symbol
_atom_site_fract_x
_atom_site_fract_y
_atom_site_fract_z
Ba1 Ba 0.0000 0.0000 0.0000
Tl1 Tl 0.0000 0.3485 0.2500
B1 B 0.0000 0.3661 0.7500
O1 O 0.0000 0.2680 0.5680
O2 O 0.1854 0.4555 0.7500
```

Computed properties:
Mass density = 6.6 g/cm³

---

BaTlBO2: optimized geometry, PBE.

CIF file:
```
data_BaTlBO2
_symmetry_space_group_name_H-M 'P 4/m m m'
_symmetry_Int_Tables_number 123
_symmetry_space_group_name_Hall '-P 4 2'
_cell_length_a 4.6784
_cell_length_b 4.6784
_cell_length_c 5.6318
_cell_angle_alpha 90.00
_cell_angle_beta 90.00
_cell_angle_gamma 90.00
loop_
_atom_site_label
_atom_site_type_symbol
_atom_site_fract_x
_atom_site_fract_y
_atom_site_fract_z
Ba1 Ba 0.0000 0.0000 0.0000
Tl1 Tl 0.5000 0.5000 0.5000
B1 B 0.0000 0.0000 0.5000
O1 O 0.0000 0.5000 0.0000
```

Computed properties:
Mass density = 5.2 g/cm³

---

Ba3TmB2O8: optimized geometry, PBE.

CIF file:
```
data_Ba3TmB2O8
_symmetry_space_group_name_H-M 'P -3 m 1'
_symmetry_Int_Tables_number 164
_symmetry_space_group_name_Hall '-P 3 2"'
_cell_length_a 5.5893
_cell_length_b 5.5893
_cell_length_c 7.3217
_cell_angle_alpha 90.00
_cell_angle_beta 90.00
_cell_angle_gamma 120.00
loop_
_atom_site_label
_atom_site_type_symbol
_atom_site_fract_x
_atom_site_fract_y
_atom_site_fract_z
Ba1 Ba 0.0000 0.0000 0.0000
Ba2 Ba 0.3333 0.6667 0.6943
Tm1 Tm 0.0000 0.0000 0.5000
B1 B 0.3333 0.6667 0.2520
O1 O 0.1859 0.3719 0.3224
O2 O 0.3333 0.6667 0.0524
```

Computed properties:
Mass density = 6.1 g/cm³

---

BaTm4B3O12: optimized geometry, PBE.

CIF file:
```
data_BaTm4B3O12
_symmetry_space_group_name_H-M 'I m -3'
_symmetry_Int_Tables_number 204
_symmetry_space_group_name_Hall '-I 2 2 3'
_cell_length_a 7.7370
_cell_length_b 7.7370
_cell_length_c 7.7370
_cell_angle_alpha 90.00
_cell_angle_beta 90.00
_cell_angle_gamma 90.00
loop_
_atom_site_label
_atom_site_type_symbol
_atom_site_fract_x
_atom_site_fract_y
_atom_site_fract_z
Ba1 Ba 0.0000 0.0000 0.0000
Tm1 Tm 0.2500 0.2500 0.2500
B1 B 0.0000 0.0000 0.5000
O1 O 0.0000 0.1428 0.3505
```

Computed properties:
Mass density = 7.4 g/cm³

---

Ba2UBO6: optimized geometry, PBE.

CIF file:
```
data_Ba2UBO6
_symmetry_space_group_name_H-M 'I 4/m m m'
_symmetry_Int_Tables_number 139
_symmetry_space_group_name_Hall '-I 4 2'
_cell_length_a 6.5563
_cell_length_b 6.5563
_cell_length_c 7.4166
_cell_angle_alpha 90.00
_cell_angle_beta 90.00
_cell_angle_gamma 90.00
loop_
_atom_site_label
_atom_site_type_symbol
_atom_site_fract_x
_atom_site_fract_y
_atom_site_fract_z
Ba1 Ba 0.0000 0.5000 0.2500
U1 U 0.0000 0.0000 0.0000
B1 B 0.0000 0.0000 0.5000
O1 O 0.0000 0.0000 0.3268
O2 O 0.2211 0.2211 0.0000
```

Computed properties:
Mass density = 6.5 g/cm³

---

What uncorrected formation energy values result from the calculations? In sequence: -1824.8; -1164.3; -1660.7; -3043.1; -2722.0; -1735.1; -2306.2; -1748.9; 517.4; -2724.7; -2392.1; -2756.8 meV per atom.